A geometry-optimized LaHfSb2 structure, computed with PBE.

The structure belongs to space group I-4m2 (No. 119); the cell edges are 4.175, 4.175 and 14.341 Å and the angles 90.00°, 90.00° and 90.00°. The asymmetric unit holds La at (0.000, 0.000, 0.000), Hf at (0.000, 0.500, 0.750) and Sb at (0.000, 0.000, 0.380).

The raw formation energy comes out at -0.52 eV/atom. The calculation puts the energy above the most stable polymorph in this dataset at 8.7 meV per atom. The mass density comes out at 7.453 Mg/m³.

=====

A geometry-optimized LaHf3Sb structure, computed with PBE.

The structure belongs to space group Pm-3m (No. 221); the cell edges are 5.179, 5.179 and 5.179 Å and the angles 90.00°, 90.00° and 90.00°. The asymmetric unit holds La at (0.000, 0.000, 0.000), Hf at (0.000, 0.000, 0.500) and Sb at (0.500, 0.500, 0.500).

The raw formation energy comes out at 1.44 eV/atom. The calculation puts the energy above the most stable polymorph in this dataset at 844.8 meV per atom. The mass density comes out at 9.518 Mg/m³.

=====

A geometry-optimized LaHfSb2 structure, computed with PBE.

The structure belongs to space group Fm-3m (No. 225); the cell edges are 7.495, 7.495 and 7.495 Å and the angles 90.00°, 90.00° and 90.00°. The asymmetric unit holds La at (0.000, 0.000, 0.000), Hf at (0.000, 0.000, 0.500) and Sb at (0.250, 0.250, 0.250).

The raw formation energy comes out at -0.53 eV/atom. The calculation puts the energy above the most stable polymorph in this dataset at 0.0 meV per atom. The mass density comes out at 8.847 Mg/m³.

=====

A geometry-optimized LaHf2Sb2 structure, computed with PBE.

The structure belongs to space group I4/mmm (No. 139); the cell edges are 4.317, 4.317 and 14.206 Å and the angles 90.00°, 90.00° and 90.00°. The asymmetric unit holds La at (0.000, 0.000, 0.000), Hf at (0.000, 0.500, 0.250) and Sb at (0.000, 0.000, 0.390).

The raw formation energy comes out at -0.63 eV/atom. The calculation puts the energy above the most stable polymorph in this dataset at 0.0 meV per atom. The mass density comes out at 9.275 Mg/m³.

=====

Please write out number 1 again, unchanged.
A geometry-optimized LaHfSb2 structure, computed with PBE.

The structure belongs to space group I-4m2 (No. 119); the cell edges are 4.175, 4.175 and 14.341 Å and the angles 90.00°, 90.00° and 90.00°. The asymmetric unit holds La at (0.000, 0.000, 0.000), Hf at (0.000, 0.500, 0.750) and Sb at (0.000, 0.000, 0.380).

The raw formation energy comes out at -0.52 eV/atom. The calculation puts the energy above the most stable polymorph in this dataset at 8.7 meV per atom. The mass density comes out at 7.453 Mg/m³.

=====

What is the formula in the fourth record?
LaHf2Sb2

=====

Copy entry 1 word for word.
A geometry-optimized LaHfSb2 structure, computed with PBE.

The structure belongs to space group I-4m2 (No. 119); the cell edges are 4.175, 4.175 and 14.341 Å and the angles 90.00°, 90.00° and 90.00°. The asymmetric unit holds La at (0.000, 0.000, 0.000), Hf at (0.000, 0.500, 0.750) and Sb at (0.000, 0.000, 0.380).

The raw formation energy comes out at -0.52 eV/atom. The calculation puts the energy above the most stable polymorph in this dataset at 8.7 meV per atom. The mass density comes out at 7.453 Mg/m³.

=====

Which of these has the lowest mass density?
number 1